First-principles (PBE with a Hubbard U) data for a relaxed structure of CrInO2F, as listed in Alexandria via LeMat-Bulk.

Geometry as POSCAR:
```
CrInO2F
1.0
-0.934 -2.857 2.906
3.342 1.170 2.224
-2.330 2.817 2.020
Cr F O In
1 1 2 1
Direct
0.500 0.500 0.500
0.000 0.000 0.500
0.000 0.500 0.000
0.500 0.000 0.000
0.000 0.000 0.000
```

Output
**Volume**: 73.0 Å³ per cell
**Spin magnetization**: 4.01 μB per formula unit
**Final energy**: -0.402 Ry/atom